# 1
## Na3Sn5Hg2 (PBE)

Data for an optimized crystal structure of Na3Sn5Hg2.

Cell and atoms, written as POSCAR:
```
Na3Sn5Hg2
1.0
-6.794 6.996 3.246
6.794 -6.996 3.246
6.794 6.996 -3.246
Na Sn Hg
6 10 4
direct
0.210 0.661 0.872
0.250 0.250 0.000
0.290 0.161 0.451
0.710 0.839 0.549
0.750 0.750 0.000
0.790 0.339 0.128
0.131 0.360 0.490
0.250 0.021 0.771
0.250 0.479 0.229
0.250 0.750 0.500
0.369 0.860 0.229
0.631 0.140 0.771
0.750 0.250 0.500
0.750 0.521 0.771
0.750 0.979 0.229
0.869 0.640 0.510
0.175 0.949 0.124
0.325 0.449 0.774
0.675 0.551 0.226
0.825 0.051 0.876
```

Symmetry: No. 72
Total DFT energy (no corrections) (eV/atom): -2.535
Volume (Å³ per atom): 30.853
Formation enthalpy at 0 K (kJ/mol of atoms): -7.45

***

# 2
## Nb2Sn2Au (PBE)

Data for an optimized crystal structure of Nb2Sn2Au.

Cell and atoms, written as POSCAR:
```
Nb2Sn2Au
1.0
7.414 0.000 0.000
0.000 7.414 0.000
0.000 0.000 3.842
Nb Sn Au
4 4 2
direct
0.129 0.371 0.000
0.371 0.871 0.000
0.629 0.129 0.000
0.871 0.629 0.000
0.169 0.669 0.500
0.331 0.169 0.500
0.669 0.831 0.500
0.831 0.331 0.500
0.000 0.000 0.000
0.500 0.500 0.000
```

E above lowest polymorph (kJ/mol of atoms): 0.0
Symmetry: No. 127
Total DFT energy (no corrections) (eV/atom): -6.252
Volume (Å³ per atom): 21.118
Formation enthalpy at 0 K (kJ/mol of atoms): 3.13

***

# 3
## La3CuSb (PBE)

Data for an optimized crystal structure of La3CuSb.

Cell and atoms, written as POSCAR:
```
La3CuSb
1.0
6.004 0.000 0.000
0.000 6.004 0.000
0.000 0.000 6.004
La Cu Sb
3 1 1
direct
0.000 0.000 0.500
0.000 0.500 0.000
0.500 0.000 0.000
0.500 0.500 0.500
0.000 0.000 0.000
```

E above lowest polymorph (kJ/mol of atoms): 50.2
Symmetry: No. 221
Total DFT energy (no corrections) (eV/atom): -4.330
Volume (Å³ per atom): 43.280
Formation energy (no corrections) (eV/atom): 0.27

***

Question: The highest total DFT energy (no corrections) belongs to which entry?
Answer: Na3Sn5Hg2

***

Question: Look up the volume of the first one.
Answer: 30.853 Å³ per atom

***

Question: Which value of total DFT energy (no corrections) does entry 3 give?
Answer: -4.330 eV/atom

***

Question: Among the records above, which one has the highest volume?
Answer: La3CuSb